Compound: RbGaCl4
Source: Alexandria
Functional: PBE-GGA
Structure: optimized geometry

Unit cell a=8.453 b=8.453 c=8.453 alpha=104.49 beta=104.49 gamma=119.97
Element x y z (fractional)
Cl  0.656  0.827  0.171
Rb  0.750  0.250  0.500
Cl  0.173  0.344  0.829
Cl  0.094  0.423  0.329
Ga  0.500  0.500  0.000
Cl  0.516  0.344  0.171
Cl  0.234  0.906  0.329
Cl  0.094  0.766  0.671
Ga  0.250  0.750  0.500
Rb  0.000  0.000  0.000
Cl  0.577  0.906  0.671
Cl  0.656  0.484  0.829

Its space group is I4_1/amd (141). Its crystal system is tetragonal. The volume is 453.1 Å³ per cell. As for the formation energy without anion corrections: -1.49 eV/atom.